! Pm3Pr2DyBi6 (PBE, optimized geometry); values from VASP
&SYSTEM
  ibrav = 0, nat = 12, ntyp = 4
/
ATOMIC_SPECIES
Pm 145.00 Pm.upf
Pr 140.91 Pr.upf
Dy 162.50 Dy.upf
Bi 208.98 Bi.upf
ATOMIC_POSITIONS angstrom
Pm 0.0000 0.0000 0.0000
Pm 5.2281 0.0000 5.9425
Pm 12.6400 0.0000 2.9774
Pr 6.3244 0.0000 1.4962
Pr 11.5437 0.0000 7.4237
Dy -1.0514 0.0000 4.4599
Bi 2.0660 0.0000 5.1657
Bi 3.1366 0.0000 0.7612
Bi 8.3842 0.0000 6.6386
Bi 9.4839 0.0000 2.2813
Bi 14.7315 0.0000 8.1587
Bi 15.8021 0.0000 3.7542
CELL_PARAMETERS angstrom
9.9854 -2.2928 0.0000
9.9854 2.2928 0.0000
-2.1027 0.0000 8.9199
! - size of the total moment (μB per formula unit) = 0.0
! - calculated volume (A^3/atom) = 34.0
! - calculated formation energy (eV/atom) = -0.930

! PmDy2PuBi4 (PBE, optimized geometry); values from VASP
&SYSTEM
  ibrav = 0, nat = 8, ntyp = 4
/
ATOMIC_SPECIES
Pm 145.00 Pm.upf
Dy 162.50 Dy.upf
Pu 244.00 Pu.upf
Bi 208.98 Bi.upf
ATOMIC_POSITIONS angstrom
Pm 0.0000 0.0000 0.0000
Dy 2.6088 0.0000 3.6915
Dy 3.9117 2.2612 0.0000
Pu -1.3029 2.2612 3.6915
Bi 0.0368 0.0000 5.5358
Bi 1.3389 2.2612 1.8725
Bi 3.8787 2.2612 5.5104
Bi 5.1808 0.0000 1.8472
CELL_PARAMETERS angstrom
7.8234 0.0000 0.0000
0.0000 4.5223 0.0000
-2.6057 0.0000 7.3830
! - size of the total moment (μB per formula unit) = 5.2
! - calculated volume (A^3/atom) = 32.7
! - calculated formation energy (eV/atom) = -0.740

! Pm2DyPuBi4 (PBE, optimized geometry); values from VASP
&SYSTEM
  ibrav = 0, nat = 8, ntyp = 4
/
ATOMIC_SPECIES
Pm 145.00 Pm.upf
Dy 162.50 Dy.upf
Pu 244.00 Pu.upf
Bi 208.98 Bi.upf
ATOMIC_POSITIONS angstrom
Pm 0.0000 0.0000 0.0000
Pm -1.3079 2.2737 3.7110
Dy 2.6265 0.0000 3.7110
Pu 3.9344 2.2737 0.0000
Bi 0.0442 0.0000 5.5700
Bi 1.3525 2.2737 1.8792
Bi 3.9005 2.2737 5.5428
Bi 5.2088 0.0000 1.8520
CELL_PARAMETERS angstrom
7.8687 0.0000 0.0000
0.0000 4.5475 0.0000
-2.6157 0.0000 7.4221
! - size of the total moment (μB per formula unit) = 5.1
! - calculated volume (A^3/atom) = 33.2
! - calculated formation energy (eV/atom) = -0.759

! Pm2DyScBi4 (PBE, optimized geometry); values from VASP
&SYSTEM
  ibrav = 0, nat = 8, ntyp = 4
/
ATOMIC_SPECIES
Pm 145.00 Pm.upf
Dy 162.50 Dy.upf
Sc 44.96 Sc.upf
Bi 208.98 Bi.upf
ATOMIC_POSITIONS angstrom
Pm 0.0000 0.0000 0.0000
Pm -1.2971 2.2429 3.6593
Dy 2.5775 0.0000 3.6593
Sc 3.8746 2.2429 0.0000
Bi 1.3858 2.2429 1.8119
Bi 0.0878 0.0000 5.5740
Bi 5.0672 0.0000 1.7446
Bi 3.7693 2.2429 5.5067
CELL_PARAMETERS angstrom
7.7493 0.0000 0.0000
0.0000 4.4857 0.0000
-2.5942 0.0000 7.3186
! - size of the total moment (μB per formula unit) = 0.0
! - calculated volume (A^3/atom) = 31.8
! - calculated formation energy (eV/atom) = -0.837